An optimized crystal structure of CaDy2HfO6, computed with PBE.

Results
Symmetry ... No. 146
Energy relative to the elements, uncorrected ... -34.5 eV per formula unit

Cell lengths 5.7244, 5.7242, 6.0036 Å; angles 61.53, 61.53, 60.00 degrees
Sites, in units of the cell vectors:
Ca 0.8046 0.8046 0.5863
Dy 0.5264 0.5264 0.4208
Dy 0.0234 0.0234 0.9297
Hf 0.3148 0.3148 0.0555
O 0.5919 0.2166 0.2429
O 0.2166 0.9486 0.2429
O 0.9486 0.5919 0.2429
O 0.4042 0.6931 0.7648
O 0.6931 0.1379 0.7648
O 0.1379 0.4042 0.7648

An optimized crystal structure of Ca2DyHfP4, computed with PBE.

Results
ΔE_f ... -1.229 eV/atom
Symmetry ... No. 10

Cell lengths 3.9281, 6.8428, 7.0317 Å; angles 108.69, 90.00, 90.00 degrees
Sites, in units of the cell vectors:
Ca 0.5000 0.0000 0.5000
Ca 0.0000 0.5000 0.5000
Dy 0.5000 0.5000 0.0000
Hf 0.0000 0.0000 0.0000
P 0.5000 0.2286 0.2239
P 0.5000 0.7714 0.7761
P 0.0000 0.2424 0.7696
P 0.0000 0.7576 0.2304

An optimized crystal structure of Ca3DyHf2P6, computed with PBE.

Results
ΔE_f ... -1.247 eV/atom
Symmetry ... No. 12

Cell lengths 6.7612, 6.7612, 7.0195 Å; angles 99.29, 99.29, 120.05 degrees
Sites, in units of the cell vectors:
Ca 0.1631 0.8369 0.5000
Ca 0.8369 0.1631 0.5000
Ca 0.5000 0.5000 0.5000
Dy 0.0000 0.0000 0.0000
Hf 0.3326 0.6674 0.0000
Hf 0.6674 0.3326 0.0000
P 0.9244 0.5767 0.7742
P 0.7272 0.7272 0.2246
P 0.0756 0.4233 0.2258
P 0.5767 0.9244 0.7742
P 0.2728 0.2728 0.7754
P 0.4233 0.0756 0.2258

An optimized crystal structure of CaDy2HfP4, computed with PBE.

Results
ΔE_f ... -1.384 eV/atom
Symmetry ... No. 10

Cell lengths 3.9343, 6.8714, 6.7820 Å; angles 109.06, 90.00, 90.00 degrees
Sites, in units of the cell vectors:
Ca 0.5000 0.5000 0.0000
Dy 0.5000 0.0000 0.5000
Dy 0.0000 0.5000 0.5000
Hf 0.0000 0.0000 0.0000
P 0.5000 0.2344 0.2369
P 0.5000 0.7656 0.7631
P 0.0000 0.2368 0.7547
P 0.0000 0.7632 0.2453

An optimized crystal structure of Ca2DyHfSb4, computed with PBE.

Results
Symmetry ... No. 10
Energy relative to the elements, uncorrected ... -6.7 eV per formula unit

Cell lengths 4.2937, 7.4888, 7.7955 Å; angles 108.37, 90.00, 90.00 degrees
Sites, in units of the cell vectors:
Ca 0.5000 0.0000 0.5000
Ca 0.0000 0.5000 0.5000
Dy 0.5000 0.5000 0.0000
Hf 0.0000 0.0000 0.0000
Sb 0.5000 0.2302 0.2264
Sb 0.5000 0.7698 0.7736
Sb 0.0000 0.2430 0.7666
Sb 0.0000 0.7570 0.2334

An optimized crystal structure of Ca2DyHg7, computed with PBE.

Results
ΔE_f ... -0.315 eV/atom
Symmetry ... No. 156

Cell lengths 5.0619, 5.0619, 12.2041 Å; angles 90.00, 90.00, 120.00 degrees
Sites, in units of the cell vectors:
Ca 0.6667 0.3333 0.2565
Ca 0.3333 0.6667 0.6310
Dy 0.0000 0.0000 0.0208
Hg 0.3333 0.6667 0.3718
Hg 0.3333 0.6667 0.1318
Hg 0.0000 0.0000 0.4307
Hg 0.0000 0.0000 0.7534
Hg 0.6667 0.3333 0.5397
Hg 0.6667 0.3333 0.9653
Hg 0.3333 0.6667 0.8823

An optimized crystal structure of CaDy2Hg2, computed with PBE.

Results
ΔE_f ... -0.403 eV/atom
Symmetry ... No. 11

Cell lengths 3.7243, 5.3779, 13.9228 Å; angles 90.00, 97.65, 90.00 degrees
Sites, in units of the cell vectors:
Ca 0.8559 0.7500 0.7122
Ca 0.1441 0.2500 0.2878
Dy 0.0487 0.7500 0.0961
Dy 0.9513 0.2500 0.9039
Dy 0.2330 0.7500 0.4662
Dy 0.7670 0.2500 0.5338
Hg 0.6433 0.7500 0.2862
Hg 0.3567 0.2500 0.7138
Hg 0.4542 0.7500 0.9106
Hg 0.5458 0.2500 0.0894

An optimized crystal structure of CaDy2Hg8, computed with PBE.

Results
ΔE_f ... -0.316 eV/atom
Symmetry ... No. 71

Cell lengths 5.1123, 7.2078, 8.7191 Å; angles 114.42, 107.05, 90.00 degrees
Sites, in units of the cell vectors:
Ca 0.5000 0.0000 0.0000
Dy 0.1896 0.6896 0.3793
Dy 0.8104 0.3104 0.6207
Hg 0.6511 0.8694 0.3023
Hg 0.3489 0.5671 0.6977
Hg 0.1589 0.1590 0.3177
Hg 0.0000 0.2933 0.9999
Hg 0.8411 0.8410 0.6823
Hg 0.6511 0.4329 0.3023
Hg 0.3489 0.1306 0.6977
Hg 0.0000 0.7067 0.0000

Summary of spin magnetization in μB/cell
0.00 0.00 0.00 0.00 0.00 0.00 0.00 0.00
(order as listed above)